{
  "formula": "AcScAl2",
  "functional": "PBE",
  "state": "relaxed",
  "relative_energy_mev_per_atom": 193,
  "space_group": "P4/mmm (123)",
  "lattice": [[-1.3722, -0.2596, -3.5684], [-1.6822, -4.8104, 0.9968], [-4.5471, 1.9235, 1.6087]],
  "species": ["Sc", "Ac", "Al", "Al"],
  "fractional_positions": [[0.5000, 0.0000, 0.0000], [0.5000, 0.5000, 0.5000], [0.0000, 0.0000, 0.5000], [0.0000, 0.5000, 0.0000]]
}

{
  "formula": "Sr2LiGa3Cu12",
  "functional": "PBE",
  "state": "relaxed",
  "space_group": "R-3m (166)",
  "lattice": [[-1.7459, -5.7645, 8.0236], [2.8700, -1.7929, 9.4448], [-3.0717, 0.1527, 9.5497]],
  "species": ["Sr", "Sr", "Li", "Ga", "Ga", "Ga", "Cu", "Cu", "Cu", "Cu", "Cu", "Cu", "Cu", "Cu", "Cu", "Cu", "Cu", "Cu"],
  "fractional_positions": [[0.6524, 0.6524, 0.6524], [0.3476, 0.3476, 0.3476], [0.0000, 0.0000, 0.0000], [0.5000, 0.0000, 0.0000], [0.0000, 0.5000, 0.0000], [0.0000, 0.0000, 0.5000], [0.4193, 0.4193, 0.8121], [0.9418, 0.9418, 0.3412], [0.3412, 0.9418, 0.9418], [0.8121, 0.4193, 0.4193], [0.9418, 0.3412, 0.9418], [0.4193, 0.8121, 0.4193], [0.5807, 0.5807, 0.1879], [0.0582, 0.0582, 0.6588], [0.6588, 0.0582, 0.0582], [0.1879, 0.5807, 0.5807], [0.0582, 0.6588, 0.0582], [0.5807, 0.1879, 0.5807]]
}

{
  "formula": "LiNdYCd",
  "functional": "PBE",
  "state": "relaxed",
  "space_group": "F-43m (216)",
  "lattice": [[5.3510, 0.0000, 0.0000], [2.6755, 4.6341, 0.0000], [2.6755, 1.5447, 4.3690]],
  "species": ["Y", "Li", "Nd", "Cd"],
  "fractional_positions": [[0.0000, 0.0000, 0.0000], [0.2500, 0.2500, 0.2500], [0.5000, 0.5000, 0.5000], [0.7500, 0.7500, 0.7500]]
}

{
  "formula": "Nd2Zn2Pd",
  "functional": "PBE",
  "state": "relaxed",
  "relative_energy_mev_per_atom": 0,
  "space_group": "C2/m (12)",
  "lattice": [[-2.1757, 3.1578, -2.4344], [-5.4181, -1.2237, -0.9824], [-3.0876, 6.5745, 7.0503]],
  "species": ["Nd", "Nd", "Nd", "Nd", "Zn", "Zn", "Zn", "Zn", "Pd", "Pd"],
  "fractional_positions": [[0.6768, 0.3101, 0.3363], [0.9191, 0.2764, 0.8854], [0.3232, 0.6899, 0.6637], [0.0809, 0.7236, 0.1146], [0.0879, 0.2659, 0.5583], [0.6255, 0.8624, 0.8865], [0.9121, 0.7341, 0.4417], [0.3745, 0.1376, 0.1135], [0.6149, 0.1098, 0.6604], [0.3851, 0.8902, 0.3396]]
}

{
  "formula": "Co2CuAs",
  "functional": "PBE",
  "state": "relaxed",
  "space_group": "C2/m (12)",
  "lattice": [[4.1196, 0.0038, 0.0048], [3.1839, 2.6142, 0.0048], [0.8706, 0.3121, 4.5268]],
  "species": ["As", "Co", "Co", "Cu"],
  "fractional_positions": [[0.2500, 0.2500, 0.2500], [0.9953, 0.9953, 0.0102], [0.5047, 0.5047, 0.4898], [0.7500, 0.7500, 0.7500]]
}

{
  "formula": "Mo2AsPt",
  "functional": "PBE",
  "state": "relaxed",
  "space_group": "P4/mmm (123)",
  "lattice": [[4.4620, 0.0000, 0.0000], [0.0000, 3.7695, 0.0000], [0.0000, 0.0000, 3.7695]],
  "species": ["Mo", "Mo", "As", "Pt"],
  "fractional_positions": [[0.0000, 0.0000, 0.0000], [0.0000, 0.5000, 0.5000], [0.5000, 0.0000, 0.5000], [0.5000, 0.5000, 0.0000]]
}

no.,raw total energy (eV per cell)
1,-18.4
2,-61.2
3,-14.6
4,-39.6
5,-22.4
6,-31.9